1.
{"formula": "Hf2BiH", "functional": "GGA-PBE", "state": "relaxed", "rho_g_cm3": 12.9, "final_energy_ev_per_atom": -6.889, "cell": [[1.717, 0.991, 7.129], [-1.717, 0.991, 7.129], [0.000, -1.982, 7.129]], "species": ["Hf", "Hf", "Bi", "H"], "fractional_positions": [[0.000, 0.000, 0.000], [0.224, 0.224, 0.224], [0.446, 0.446, 0.446], [0.613, 0.613, 0.613]]}

***

2.
{"formula": "RbDyPb2Cl8", "functional": "GGA-PBE", "state": "relaxed", "rho_g_cm3": 3.8, "final_energy_ev_per_atom": -3.975, "cell": [[6.598, 0.000, 0.000], [0.000, 9.020, 0.000], [-0.128, 0.000, 6.866]], "species": ["Rb", "Dy", "Pb", "Pb", "Cl", "Cl", "Cl", "Cl", "Cl", "Cl", "Cl", "Cl"], "fractional_positions": [[0.000, 0.000, 0.000], [0.000, 0.500, 0.000], [0.500, 0.251, 0.500], [0.500, 0.749, 0.500], [0.231, 0.291, 0.160], [0.231, 0.709, 0.160], [0.245, 0.500, 0.690], [0.277, 0.000, 0.625], [0.723, 0.000, 0.375], [0.755, 0.500, 0.310], [0.769, 0.291, 0.840], [0.769, 0.709, 0.840]]}

***

3.
{"formula": "CdRuO2F", "functional": "GGA-PBE", "state": "relaxed", "rho_g_cm3": 5.8, "final_energy_ev_per_atom": -4.207, "cell": [[4.199, 0.000, 0.000], [0.000, 4.199, 0.000], [0.000, 0.000, 4.268]], "species": ["Cd", "Ru", "O", "O", "F"], "fractional_positions": [[0.000, 0.000, 0.000], [0.500, 0.500, 0.500], [0.000, 0.500, 0.000], [0.500, 0.000, 0.000], [0.000, 0.000, 0.500]]}

***

4.
{"formula": "ZnB3N", "functional": "GGA-PBE", "state": "relaxed", "rho_g_cm3": 3.0, "final_energy_ev_per_atom": -3.118, "cell": [[3.936, 0.000, 0.000], [0.000, 3.936, 0.000], [0.000, 0.000, 3.936]], "species": ["Zn", "B", "B", "B", "N"], "fractional_positions": [[0.000, 0.000, 0.000], [0.000, 0.000, 0.500], [0.000, 0.500, 0.000], [0.500, 0.000, 0.000], [0.500, 0.500, 0.500]]}